[1]
Here is Ho4BiPbSe2 after structural relaxation from Alexandria. Energies are from PBE.

Properties
Formation energy without anion corrections (meV per atom): -1174
DOS(E_F) (states/eV per cell): 1.93
Density (g cm⁻³): 9.34
Total DFT energy (no corrections) (eV/atom): -5.283

Geometry as CIF:
```
data_Ho4BiPbSe2
_space_group_name_H-M_alt 'P 1 2/m 1'
_space_group_IT_number 10
_cell_length_a 7.357
_cell_length_b 4.272
_cell_length_c 7.404
_cell_angle_alpha 90.00
_cell_angle_beta 109.53
_cell_angle_gamma 90.00
loop_
_space_group_symop_operation_xyz
'x,y,z'
'-x,-y,-z'
'-x,y,-z'
'x,-y,z'
loop_
_atom_site_label
_atom_site_fract_x
_atom_site_fract_y
_atom_site_fract_z
Ho1 0.236 0.000 0.241
Ho2 0.239 0.500 0.750
Bi1 0.500 0.500 0.500
Pb1 0.500 0.000 0.000
Se1 0.000 0.000 0.500
Se2 0.000 0.500 0.000
```


[2]
Here is SmHoBiPb after structural relaxation from Alexandria. Energies are from PBE.

Properties
DOS(E_F) (states/eV per cell): 3.83
Density (g cm⁻³): 9.47
Total DFT energy (no corrections) (eV/atom): -4.843

Geometry as CIF:
```
data_SmHoBiPb
_space_group_name_H-M_alt 'R 3 m'
_space_group_IT_number 160
_space_group_name_Hall 'R 3 -2"'
_cell_length_a 4.3539
_cell_length_b 4.3539
_cell_length_c 23.4387
_cell_angle_alpha 90.00
_cell_angle_beta 90.00
_cell_angle_gamma 120.00
loop_
_atom_site_label
_atom_site_fract_x
_atom_site_fract_y
_atom_site_fract_z
Sm1 0.0000 0.0000 0.0000
Ho1 0.0000 0.0000 0.5036
Bi1 0.0000 0.0000 0.2497
Pb1 0.0000 0.0000 0.7538
```


[3]
Here is Ho6Bi3Te2Pb after structural relaxation from Alexandria. Energies are from PBE.

Properties
Formation energy without anion corrections (meV per atom): -944
DOS(E_F) (states/eV per cell): 4.55
Density (g cm⁻³): 9.41
Total DFT energy (no corrections) (eV/atom): -5.036

Geometry as CIF:
```
data_Ho6Bi3Te2Pb
_space_group_name_H-M_alt 'C 1 2/m 1'
_space_group_IT_number 12
_cell_length_a 19.246
_cell_length_b 4.427
_cell_length_c 8.848
_cell_angle_alpha 90.00
_cell_angle_beta 103.19
_cell_angle_gamma 90.00
loop_
_space_group_symop_operation_xyz
'x,y,z'
'-x,-y,-z'
'-x,y,-z'
'x,-y,z'
'x+1/2,y+1/2,z'
'-x+1/2,-y+1/2,-z'
'-x+1/2,y+1/2,-z'
'x+1/2,-y+1/2,z'
loop_
_atom_site_label
_atom_site_fract_x
_atom_site_fract_y
_atom_site_fract_z
Ho1 0.001 0.000 0.256
Ho2 0.163 0.500 0.579
Ho3 0.165 0.500 0.085
Bi1 0.000 0.500 0.000
Bi2 0.169 0.000 0.333
Te1 0.167 0.000 0.835
Pb1 0.000 0.500 0.500
```


[4]
Here is Ho8Bi3Te4Pb after structural relaxation from Alexandria. Energies are from PBE.

Properties
Formation energy without anion corrections (meV per atom): -1030
DOS(E_F) (states/eV per cell): 20.54
Density (g cm⁻³): 9.15
Total DFT energy (no corrections) (eV/atom): -5.064

Geometry as CIF:
```
data_Ho8Bi3Te4Pb
_space_group_name_H-M_alt 'R -3 m'
_space_group_IT_number 166
_space_group_name_Hall '-R 3 2"'
_cell_length_a 8.8304
_cell_length_b 8.8304
_cell_length_c 21.4756
_cell_angle_alpha 90.00
_cell_angle_beta 90.00
_cell_angle_gamma 120.00
loop_
_atom_site_label
_atom_site_fract_x
_atom_site_fract_y
_atom_site_fract_z
Ho1 0.0000 0.0000 0.2492
Ho2 0.0051 0.5026 0.2480
Bi1 0.0000 0.5000 0.5000
Te1 0.0000 0.0000 0.0000
Te2 0.0000 0.5000 0.0000
Pb1 0.0000 0.0000 0.5000
```


Q: Which value of density does entry 3 give?
A: 9.41 g cm⁻³


Q: What is the density in the third record?
A: 9.41 g cm⁻³